# 1
! CaCe2B2O6, optimized geometry, DFT PBE; values from VASP
&SYSTEM
  ibrav = 0, nat = 11, ntyp = 4
/
ATOMIC_SPECIES
Ca 40.08 Ca.upf
Ce 140.12 Ce.upf
B 10.81 B.upf
O 16.00 O.upf
ATOMIC_POSITIONS angstrom
Ca 0.0000 0.0000 0.0000
Ce 0.0000 3.2907 1.2104
Ce 2.8498 1.6453 4.4540
B 0.0000 3.2907 4.1448
B 2.8498 1.6453 1.5196
O -1.3834 3.5241 4.5020
O 0.4895 1.9759 4.5020
O 1.9559 0.5640 1.1625
O 0.8939 4.3720 4.5020
O 2.3603 2.9601 1.1625
O 4.2332 1.4119 1.1625
CELL_PARAMETERS angstrom
5.6996 0.0000 0.0000
-2.8498 4.9360 0.0000
0.0000 0.0000 5.6645
! **Formation energy from raw total energies**: -2.47 eV/atom

***

# 2
! Ca2BCl, optimized geometry, DFT PBE; values from VASP
&SYSTEM
  ibrav = 0, nat = 8, ntyp = 3
/
ATOMIC_SPECIES
Ca 40.08 Ca.upf
B 10.81 B.upf
Cl 35.45 Cl.upf
ATOMIC_POSITIONS angstrom
Ca 5.2610 1.5675 -1.0628
Ca 1.5675 1.7537 1.0628
Ca -1.7537 1.9398 3.1883
Ca 1.9398 1.7537 5.3138
B 0.0000 0.0000 0.0000
B 0.0000 3.5073 2.1255
Cl 3.5073 0.0000 2.1255
Cl 0.0000 0.0000 4.2511
CELL_PARAMETERS angstrom
-3.5073 3.5073 4.2511
3.5073 -3.5073 4.2511
3.5073 3.5073 -4.2511
! **Formation energy from raw total energies**: -0.32 eV/atom

***

# 3
! CaBCl2, optimized geometry, DFT PBE; values from VASP
&SYSTEM
  ibrav = 0, nat = 4, ntyp = 3
/
ATOMIC_SPECIES
Ca 40.08 Ca.upf
B 10.81 B.upf
Cl 35.45 Cl.upf
ATOMIC_POSITIONS angstrom
Ca 0.0000 0.0000 0.0000
B 3.4453 3.4453 3.4453
Cl 1.7226 1.7226 1.7226
Cl 5.1679 5.1679 5.1679
CELL_PARAMETERS angstrom
0.0000 3.4453 3.4453
3.4453 0.0000 3.4453
3.4453 3.4453 0.0000
! **Formation energy from raw total energies**: -0.24 eV/atom

***

# 4
! CaBCl5, optimized geometry, DFT PBE; values from VASP
&SYSTEM
  ibrav = 0, nat = 14, ntyp = 3
/
ATOMIC_SPECIES
Ca 40.08 Ca.upf
B 10.81 B.upf
Cl 35.45 Cl.upf
ATOMIC_POSITIONS angstrom
Ca 0.0000 0.0000 0.0000
Ca 1.5648 1.7555 4.1807
B -1.8953 0.3005 6.2701
B 5.0249 3.2106 2.0913
Cl -1.7308 2.0423 6.9093
Cl -0.6713 0.0486 4.8783
Cl -0.1138 3.5710 2.7221
Cl -1.4960 -0.8934 7.6535
Cl 1.6127 0.1386 2.0899
Cl 1.5168 3.3724 6.2714
Cl 4.6256 4.4044 0.7078
Cl 3.2433 -0.0600 5.6392
Cl 3.8009 3.4624 3.4830
Cl 4.8603 1.4688 1.4520
CELL_PARAMETERS angstrom
6.8537 0.0000 0.0000
-0.7841 6.8149 0.0000
-2.9400 -3.3038 8.3613
! **Formation energy from raw total energies**: -1.50 eV/atom

***

# 5
! CaBCl, optimized geometry, DFT PBE; values from VASP
&SYSTEM
  ibrav = 0, nat = 6, ntyp = 3
/
ATOMIC_SPECIES
Ca 40.08 Ca.upf
B 10.81 B.upf
Cl 35.45 Cl.upf
ATOMIC_POSITIONS angstrom
Ca 1.8023 0.0000 1.0858
Ca 19.2167 0.0000 2.1415
B 10.5495 0.0000 0.7960
B 10.4695 0.0000 2.4312
Cl 7.2796 0.0000 0.3235
Cl 13.7394 0.0000 2.9037
CELL_PARAMETERS angstrom
10.7410 -1.8178 0.0000
10.7410 1.8178 0.0000
-0.4630 0.0000 3.2273
! **Formation energy from raw total energies**: -1.13 eV/atom

***

# 6
! CaBCl, optimized geometry, DFT PBE; values from VASP
&SYSTEM
  ibrav = 0, nat = 6, ntyp = 3
/
ATOMIC_SPECIES
Ca 40.08 Ca.upf
B 10.81 B.upf
Cl 35.45 Cl.upf
ATOMIC_POSITIONS angstrom
Ca 0.0000 0.0000 0.0000
Ca -0.0009 0.4807 4.4408
B -1.6273 3.0215 4.9159
B 0.0094 3.1503 4.7980
Cl -1.6150 0.5965 7.0919
Cl 1.6370 0.5659 2.1193
CELL_PARAMETERS angstrom
3.2745 0.0000 0.0000
-1.6255 5.1133 0.0000
-1.6252 -2.2920 7.4081
! **Formation energy from raw total energies**: -1.06 eV/atom

***

# 7
! CaBCl, optimized geometry, DFT PBE; values from VASP
&SYSTEM
  ibrav = 0, nat = 6, ntyp = 3
/
ATOMIC_SPECIES
Ca 40.08 Ca.upf
B 10.81 B.upf
Cl 35.45 Cl.upf
ATOMIC_POSITIONS angstrom
Ca 0.0000 0.0000 0.0000
Ca 0.5116 0.0000 4.4435
B 0.2842 0.0000 7.0748
B 5.0902 0.0000 6.9995
Cl 4.9586 0.0000 2.2813
Cl 7.6564 0.0000 4.5892
CELL_PARAMETERS angstrom
4.9943 -1.6440 0.0000
4.9943 1.6440 0.0000
-2.3088 0.0000 7.6218
! **Formation energy from raw total energies**: -1.07 eV/atom

***

# 8
! CaBCl2, optimized geometry, DFT PBE; values from VASP
&SYSTEM
  ibrav = 0, nat = 4, ntyp = 3
/
ATOMIC_SPECIES
Ca 40.08 Ca.upf
B 10.81 B.upf
Cl 35.45 Cl.upf
ATOMIC_POSITIONS angstrom
Ca 0.0000 0.0000 0.0000
B 0.0000 0.0000 12.0233
Cl 0.0000 0.0000 2.6080
Cl 0.0000 0.0000 21.4386
CELL_PARAMETERS angstrom
2.0095 1.1602 8.0155
-2.0095 1.1602 8.0155
0.0000 -2.3203 8.0155
! **Formation energy from raw total energies**: 0.13 eV/atom

***

# 9
! CaBCl, optimized geometry, DFT PBE; values from VASP
&SYSTEM
  ibrav = 0, nat = 6, ntyp = 3
/
ATOMIC_SPECIES
Ca 40.08 Ca.upf
B 10.81 B.upf
Cl 35.45 Cl.upf
ATOMIC_POSITIONS angstrom
Ca 0.8017 1.7643 3.4630
Ca 2.4399 1.7635 7.3481
B 0.8058 -0.0507 5.4843
B 2.4359 3.5786 5.3268
Cl 0.8098 -0.0508 8.7895
Cl 2.4319 3.5786 2.0215
CELL_PARAMETERS angstrom
3.2600 0.0000 0.0000
-0.0001 3.6294 0.0000
-0.0182 -0.1016 10.8110
! **Formation energy from raw total energies**: -1.13 eV/atom

***

# 10
! CaBCl, optimized geometry, DFT PBE; values from VASP
&SYSTEM
  ibrav = 0, nat = 6, ntyp = 3
/
ATOMIC_SPECIES
Ca 40.08 Ca.upf
B 10.81 B.upf
Cl 35.45 Cl.upf
ATOMIC_POSITIONS angstrom
Ca 0.0000 0.0000 0.0000
Ca 1.6450 0.0000 4.9453
B 0.0000 0.0000 7.3751
B 1.6450 0.0000 7.5714
Cl 0.0000 0.0000 13.2822
Cl 1.6450 0.0000 2.0832
CELL_PARAMETERS angstrom
3.2901 0.0000 0.0000
0.0000 2.1942 8.8244
0.0000 -2.1942 8.8244
! **Formation energy from raw total energies**: -1.07 eV/atom

***

# 11
! CaBCl6, optimized geometry, DFT PBE; values from VASP
&SYSTEM
  ibrav = 0, nat = 8, ntyp = 3
/
ATOMIC_SPECIES
Ca 40.08 Ca.upf
B 10.81 B.upf
Cl 35.45 Cl.upf
ATOMIC_POSITIONS angstrom
Ca 0.0000 0.0000 0.0000
B 3.6310 1.3522 4.5879
Cl 2.2029 2.7726 6.5586
Cl 2.7542 5.5191 4.9510
Cl 2.5166 1.4071 0.0101
Cl 4.7582 6.7927 9.1658
Cl 4.5206 2.6807 4.2248
Cl 5.0719 5.4272 2.6173
CELL_PARAMETERS angstrom
5.0276 0.0000 0.0000
0.0127 5.4954 0.0000
2.2344 2.7044 9.1759
! **Formation energy from raw total energies**: -0.97 eV/atom

***

# 12
! CaBCl2, optimized geometry, DFT PBE; values from VASP
&SYSTEM
  ibrav = 0, nat = 8, ntyp = 3
/
ATOMIC_SPECIES
Ca 40.08 Ca.upf
B 10.81 B.upf
Cl 35.45 Cl.upf
ATOMIC_POSITIONS angstrom
Ca 0.0000 0.0000 0.0000
Ca 0.0000 2.4294 4.1760
B 2.4294 0.0000 4.1760
B 0.0000 0.0000 8.3520
Cl 1.2147 -1.1810 6.2640
Cl 1.2484 1.2147 2.0880
Cl 1.2147 3.6104 -2.0880
Cl 1.1810 1.2147 10.4400
CELL_PARAMETERS angstrom
-2.4294 2.4294 8.3520
2.4294 -2.4294 8.3520
2.4294 2.4294 -8.3520
! **Formation energy from raw total energies**: -0.19 eV/atom

***

# 13
! CaBCl, optimized geometry, DFT PBE; values from VASP
&SYSTEM
  ibrav = 0, nat = 6, ntyp = 3
/
ATOMIC_SPECIES
Ca 40.08 Ca.upf
B 10.81 B.upf
Cl 35.45 Cl.upf
ATOMIC_POSITIONS angstrom
Ca 0.0000 0.0000 0.0000
Ca 11.7615 0.0000 2.3211
B 2.1691 0.0000 2.0298
B 2.6306 0.0000 0.4591
Cl 8.1352 0.0000 1.6120
Cl 14.2104 0.0000 1.1250
CELL_PARAMETERS angstrom
8.4611 -2.3179 0.0000
8.4611 2.3179 0.0000
-0.6135 0.0000 3.2113
! **Formation energy from raw total energies**: -1.07 eV/atom

***

# 14
! CaBCl2, optimized geometry, DFT PBE; values from VASP
&SYSTEM
  ibrav = 0, nat = 4, ntyp = 3
/
ATOMIC_SPECIES
Ca 40.08 Ca.upf
B 10.81 B.upf
Cl 35.45 Cl.upf
ATOMIC_POSITIONS angstrom
Ca 0.0000 0.0000 0.0000
B 0.0000 0.0000 13.1438
Cl 0.0000 0.0000 10.2342
Cl 0.0000 0.0000 16.0534
CELL_PARAMETERS angstrom
1.9896 1.1487 8.7625
-1.9896 1.1487 8.7625
0.0000 -2.2974 8.7625
! **Formation energy from raw total energies**: -0.34 eV/atom

***

# 15
! CaBCl, optimized geometry, DFT PBE; values from VASP
&SYSTEM
  ibrav = 0, nat = 6, ntyp = 3
/
ATOMIC_SPECIES
Ca 40.08 Ca.upf
B 10.81 B.upf
Cl 35.45 Cl.upf
ATOMIC_POSITIONS angstrom
Ca -0.0002 0.8152 1.9420
Ca 1.8563 2.4455 8.3693
B 0.0391 0.8152 10.2331
B 1.8170 2.4455 0.0782
Cl 0.0396 0.8152 6.9311
Cl 1.8164 2.4455 3.3803
CELL_PARAMETERS angstrom
3.6339 0.0000 0.0000
0.0000 3.2607 0.0000
-1.7778 0.0000 10.3114
! **Formation energy from raw total energies**: -1.13 eV/atom

***

# 16
! CaBCl, optimized geometry, DFT PBE; values from VASP
&SYSTEM
  ibrav = 0, nat = 6, ntyp = 3
/
ATOMIC_SPECIES
Ca 40.08 Ca.upf
B 10.81 B.upf
Cl 35.45 Cl.upf
ATOMIC_POSITIONS angstrom
Ca 0.0000 0.0000 0.0000
Ca 1.6448 3.6759 3.8248
B 1.6461 1.6967 1.9124
B 3.2944 1.9446 1.9125
Cl 3.3666 4.3980 9.1285
Cl 3.2915 2.2818 5.4085
CELL_PARAMETERS angstrom
3.2937 0.0000 0.0000
1.6459 3.6765 0.0000
0.0739 2.1155 10.7122
! **Formation energy from raw total energies**: -1.11 eV/atom

***

# 17
! Ca2BCl, optimized geometry, DFT PBE; values from VASP
&SYSTEM
  ibrav = 0, nat = 4, ntyp = 3
/
ATOMIC_SPECIES
Ca 40.08 Ca.upf
B 10.81 B.upf
Cl 35.45 Cl.upf
ATOMIC_POSITIONS angstrom
Ca 1.7462 1.7462 1.7462
Ca 5.2387 5.2387 5.2387
B 0.0000 0.0000 0.0000
Cl 3.4925 3.4925 3.4925
CELL_PARAMETERS angstrom
0.0000 3.4925 3.4925
3.4925 0.0000 3.4925
3.4925 3.4925 0.0000
! **Formation energy from raw total energies**: -0.19 eV/atom

***

# 18
! CsCaBCl2, optimized geometry, DFT PBE; values from VASP
&SYSTEM
  ibrav = 0, nat = 5, ntyp = 4
/
ATOMIC_SPECIES
Cs 132.91 Cs.upf
Ca 40.08 Ca.upf
B 10.81 B.upf
Cl 35.45 Cl.upf
ATOMIC_POSITIONS angstrom
Cs 0.0000 0.0000 0.0000
Ca 0.0000 0.0000 3.4053
B 3.0521 3.0521 3.4053
Cl 0.0000 3.0521 0.0000
Cl 3.0521 0.0000 0.0000
CELL_PARAMETERS angstrom
6.1042 0.0000 0.0000
0.0000 6.1042 0.0000
0.0000 0.0000 6.8105
! **Formation energy from raw total energies**: 0.64 eV/atom

***

# 19
! CsCaB2Cl8, optimized geometry, DFT PBE; values from VASP
&SYSTEM
  ibrav = 0, nat = 12, ntyp = 4
/
ATOMIC_SPECIES
Cs 132.91 Cs.upf
Ca 40.08 Ca.upf
B 10.81 B.upf
Cl 35.45 Cl.upf
ATOMIC_POSITIONS angstrom
Cs 0.0000 0.0000 0.0000
Ca 0.0000 0.0000 14.3981
B 0.0000 0.0000 7.0842
B 0.0000 0.0000 21.7120
Cl -1.3454 -1.8660 12.7358
Cl -2.2887 0.2321 16.0604
Cl 0.0000 0.0000 8.9433
Cl -0.9433 2.0981 12.7358
Cl 0.9433 -2.0981 16.0604
Cl 0.0000 0.0000 19.8529
Cl 2.2887 -0.2321 12.7358
Cl 1.3453 1.8660 16.0604
CELL_PARAMETERS angstrom
3.1500 1.8186 9.5987
-3.1500 1.8186 9.5987
0.0000 -3.6373 9.5987
! **Formation energy from raw total energies**: -1.18 eV/atom

***

# 20
! CaBClF4, optimized geometry, DFT PBE; values from VASP
&SYSTEM
  ibrav = 0, nat = 14, ntyp = 4
/
ATOMIC_SPECIES
Ca 40.08 Ca.upf
B 10.81 B.upf
Cl 35.45 Cl.upf
F 19.00 F.upf
ATOMIC_POSITIONS angstrom
Ca 0.9813 0.0000 1.6886
Ca 4.5356 0.0000 6.4418
B 0.8984 0.0000 5.4555
B 4.6186 0.0000 2.6749
Cl -2.5253 0.0000 7.2490
Cl 8.0423 0.0000 0.8814
F 0.2424 1.1526 5.9395
F 0.8564 0.0000 4.0381
F 3.2657 0.0000 2.2522
F 5.2746 1.1526 2.1909
F 0.2424 -1.1526 5.9395
F 2.2512 0.0000 5.8782
F 4.6605 0.0000 4.0923
F 5.2746 -1.1526 2.1909
CELL_PARAMETERS angstrom
4.8127 -3.3666 0.0000
4.8127 3.3666 0.0000
-4.1086 0.0000 8.1304
! **Formation energy from raw total energies**: -3.01 eV/atom

***

# 21
! CaGaB2Cl, optimized geometry, DFT PBE; values from VASP
&SYSTEM
  ibrav = 0, nat = 5, ntyp = 4
/
ATOMIC_SPECIES
Ca 40.08 Ca.upf
Ga 69.72 Ga.upf
B 10.81 B.upf
Cl 35.45 Cl.upf
ATOMIC_POSITIONS angstrom
Ca 0.0000 0.0000 0.0000
Ga 0.0000 0.0000 3.1089
B 0.0000 2.0196 3.1089
B 2.0196 0.0000 3.1089
Cl 2.0196 2.0196 0.0000
CELL_PARAMETERS angstrom
4.0393 0.0000 0.0000
0.0000 4.0393 0.0000
0.0000 0.0000 6.2179
! **Formation energy from raw total energies**: 0.44 eV/atom

***

# 22
! CaB2HCl, optimized geometry, DFT PBE; values from VASP
&SYSTEM
  ibrav = 0, nat = 5, ntyp = 4
/
ATOMIC_SPECIES
Ca 40.08 Ca.upf
B 10.81 B.upf
H 1.01 H.upf
Cl 35.45 Cl.upf
ATOMIC_POSITIONS angstrom
Ca 0.0000 0.0000 0.0000
B 0.0000 1.7526 2.8910
B 1.7526 0.0000 2.8910
H 1.7526 1.7526 2.8910
Cl 1.7526 1.7526 0.0000
CELL_PARAMETERS angstrom
3.5052 0.0000 0.0000
0.0000 3.5052 0.0000
0.0000 0.0000 5.7821
! **Uncorrected energy**: -16.8 eV per formula unit